# 1
DFT (PBE-GGA) results for crystalline Th3Mg8Cd3 at its relaxed geometry.

## Properties
* density: 5.760 g/cm³
* ΔH_f (0 K): 0.00 eV per atom
* symmetry: Immm

Cell lengths 8.851, 8.851, 8.851 Å; angles 147.83, 97.98, 90.84 degrees
Fractional positions:
Th1 0.000 0.000 0.000
Th2 0.284 0.284 0.000
Th3 0.716 0.716 0.000
Mg1 0.004 0.633 0.371
Mg2 0.137 0.857 0.279
Mg3 0.262 0.633 0.629
Mg4 0.422 0.143 0.279
Mg5 0.578 0.857 0.721
Mg6 0.738 0.367 0.371
Mg7 0.863 0.143 0.721
Mg8 0.996 0.367 0.629
Cd1 0.333 0.500 0.833
Cd2 0.500 0.000 0.500
Cd3 0.667 0.500 0.167

---

# 2
DFT (PBE-GGA) results for crystalline Mg2IrPt at its relaxed geometry.

## Properties
* density: 11.294 g/cm³
* ΔH_f (0 K): -0.50 eV per atom
* symmetry: Cm

Cell lengths 5.192, 5.192, 4.685 Å; angles 109.17, 109.17, 32.69 degrees
Fractional positions:
Mg1 0.000 0.000 0.000
Mg2 0.218 0.218 0.604
Ir1 0.472 0.472 0.496
Pt1 0.747 0.747 0.111

---

# 3
DFT (PBE-GGA) results for crystalline Ho2UCr2C4 at its relaxed geometry.

## Properties
* density: 9.900 g/cm³
* ΔH_f (0 K): -0.09 eV per atom
* symmetry: C2/m

Cell lengths 6.558, 6.558, 6.007 Å; angles 108.59, 108.59, 29.68 degrees
Fractional positions:
Ho1 0.137 0.137 0.046
Ho2 0.863 0.863 0.954
U1 0.000 0.000 0.500
Cr1 0.319 0.319 0.509
Cr2 0.681 0.681 0.491
C1 0.220 0.220 0.708
C2 0.469 0.469 0.750
C3 0.531 0.531 0.250
C4 0.780 0.780 0.292

---

# 4
DFT (PBE-GGA) results for crystalline SrMoS2N at its relaxed geometry.

## Properties
* energy above the lowest structure with this stoichiometry: 0.0 kJ per mole of atoms
* density: 4.627 g/cm³
* symmetry: P4/mmm

Cell lengths 4.914, 4.914, 3.890 Å; angles 90.00, 90.00, 90.00 degrees
Fractional positions:
Sr1 0.000 0.000 0.000
Mo1 0.500 0.500 0.500
S1 0.000 0.500 0.500
S2 0.500 0.000 0.500
N1 0.500 0.500 0.000

---

# 5
DFT (PBE-GGA) results for crystalline TaRuN at its relaxed geometry.

## Properties
* energy above the lowest structure with this stoichiometry: 14.9 kJ per mole of atoms
* density: 12.850 g/cm³
* symmetry: I4_1md

Cell lengths 5.321, 5.321, 5.321 Å; angles 134.07, 134.07, 66.99 degrees
Fractional positions:
Ta1 0.000 0.000 0.000
Ta2 0.750 0.250 0.500
Ru1 0.304 0.804 0.500
Ru2 0.554 0.554 0.000
N1 0.246 0.246 0.000
N2 0.996 0.496 0.500

---

# 6
DFT (PBE-GGA) results for crystalline V12Ge6P at its relaxed geometry.

## Properties
* density: 6.096 g/cm³
* ΔH_f (0 K): 0.02 eV per atom
* symmetry: R-3

Cell lengths 6.792, 6.792, 6.792 Å; angles 100.94, 100.94, 100.94 degrees
Fractional positions:
V1 0.026 0.059 0.340
V2 0.059 0.340 0.026
V3 0.220 0.502 0.409
V4 0.340 0.026 0.059
V5 0.409 0.220 0.502
V6 0.498 0.591 0.780
V7 0.502 0.409 0.220
V8 0.591 0.780 0.498
V9 0.660 0.974 0.941
V10 0.780 0.498 0.591
V11 0.941 0.660 0.974
V12 0.974 0.941 0.660
Ge1 0.111 0.338 0.681
Ge2 0.319 0.889 0.662
Ge3 0.338 0.681 0.111
Ge4 0.662 0.319 0.889
Ge5 0.681 0.111 0.338
Ge6 0.889 0.662 0.319
P1 0.000 0.000 0.000

---

# 7
DFT (PBE-GGA) results for crystalline LaBC at its relaxed geometry.

## Properties
* energy above the lowest structure with this stoichiometry: 27.2 kJ per mole of atoms
* density: 7.386 g/cm³
* ΔH_f (0 K): -0.10 eV per atom
* symmetry: P6_3/mmc

Cell lengths 3.054, 3.054, 9.002 Å; angles 90.00, 90.00, 120.00 degrees
Fractional positions:
La1 0.000 0.000 0.000
La2 0.000 0.000 0.500
B1 0.333 0.667 0.250
B2 0.667 0.333 0.750
C1 0.333 0.667 0.750
C2 0.667 0.333 0.250

---

# 8
DFT (PBE-GGA) results for crystalline Zr3Ga4Ru2 at its relaxed geometry.

## Properties
* density: 7.827 g/cm³
* ΔH_f (0 K): -0.53 eV per atom
* symmetry: C2/m

Cell lengths 5.564, 5.564, 8.066 Å; angles 112.40, 112.40, 44.72 degrees
Fractional positions:
Zr1 0.000 0.000 0.000
Zr2 0.351 0.351 0.320
Zr3 0.649 0.649 0.680
Ga1 0.067 0.067 0.389
Ga2 0.289 0.289 0.939
Ga3 0.711 0.711 0.061
Ga4 0.933 0.933 0.611
Ru1 0.324 0.324 0.651
Ru2 0.676 0.676 0.349

---

# 9
DFT (PBE-GGA) results for crystalline ZrSi2Ir2 at its relaxed geometry.

## Properties
* density: 11.821 g/cm³
* symmetry: P4/mbm

Cell lengths 7.311, 7.311, 2.795 Å; angles 90.00, 90.00, 90.00 degrees
Fractional positions:
Zr1 0.000 0.000 0.000
Zr2 0.500 0.500 0.000
Si1 0.148 0.352 0.000
Si2 0.352 0.852 0.000
Si3 0.648 0.148 0.000
Si4 0.852 0.648 0.000
Ir1 0.146 0.646 0.500
Ir2 0.354 0.146 0.500
Ir3 0.646 0.854 0.500
Ir4 0.854 0.354 0.500

---

# 10
DFT (PBE-GGA) results for crystalline Pr5Mg4Sc at its relaxed geometry.

## Properties
* density: 4.675 g/cm³
* ΔH_f (0 K): -0.07 eV per atom
* symmetry: P4/mmm

Cell lengths 3.880, 3.880, 19.979 Å; angles 90.00, 90.00, 90.00 degrees
Fractional positions:
Pr1 0.000 0.000 0.000
Pr2 0.000 0.000 0.197
Pr3 0.000 0.000 0.396
Pr4 0.000 0.000 0.604
Pr5 0.000 0.000 0.803
Mg1 0.500 0.500 0.099
Mg2 0.500 0.500 0.297
Mg3 0.500 0.500 0.703
Mg4 0.500 0.500 0.901
Sc1 0.500 0.500 0.500

---

# 11
DFT (PBE-GGA) results for crystalline CaTcPb4 at its relaxed geometry.

## Properties
* density: 8.732 g/cm³
* ΔH_f (0 K): 0.58 eV per atom
* symmetry: F-43m

Cell lengths 6.383, 6.383, 6.383 Å; angles 60.00, 60.00, 60.00 degrees
Fractional positions:
Ca1 0.000 0.000 0.000
Tc1 0.250 0.250 0.250
Pb1 0.126 0.625 0.625
Pb2 0.625 0.126 0.625
Pb3 0.625 0.625 0.126
Pb4 0.625 0.625 0.625

---

# 12
DFT (PBE-GGA) results for crystalline Al2TeAu2 at its relaxed geometry.

## Properties
* energy above the lowest structure with this stoichiometry: 0.0 kJ per mole of atoms
* density: 9.310 g/cm³
* symmetry: I4/mmm

Cell lengths 6.630, 6.630, 6.630 Å; angles 143.47, 143.47, 52.62 degrees
Fractional positions:
Al1 0.250 0.750 0.500
Al2 0.750 0.250 0.500
Te1 0.000 0.000 0.000
Au1 0.380 0.380 0.000
Au2 0.620 0.620 0.000

---

# 13
DFT (PBE-GGA) results for crystalline KCd2Ga8 at its relaxed geometry.

## Properties
* density: 4.945 g/cm³
* ΔH_f (0 K): 0.04 eV per atom
* symmetry: Cmmm

Cell lengths 5.109, 5.109, 10.944 Å; angles 90.00, 90.00, 104.97 degrees
Fractional positions:
K1 0.000 0.000 0.000
Cd1 0.000 0.000 0.357
Cd2 0.000 0.000 0.643
Ga1 0.000 0.500 0.231
Ga2 0.000 0.500 0.500
Ga3 0.000 0.500 0.769
Ga4 0.500 0.000 0.231
Ga5 0.500 0.000 0.500
Ga6 0.500 0.000 0.769
Ga7 0.500 0.500 0.368
Ga8 0.500 0.500 0.632

---

# 14
DFT (PBE-GGA) results for crystalline ReAsPt2 at its relaxed geometry.

## Properties
* density: 16.790 g/cm³
* ΔH_f (0 K): 0.01 eV per atom
* symmetry: P4/mmm

Cell lengths 2.802, 2.802, 8.203 Å; angles 90.00, 90.00, 90.00 degrees
Fractional positions:
Re1 0.000 0.000 0.000
As1 0.000 0.000 0.500
Pt1 0.500 0.500 0.230
Pt2 0.500 0.500 0.770

---

# 15
DFT (PBE-GGA) results for crystalline Sc3TlN at its relaxed geometry.

## Properties
* density: 4.738 g/cm³
* symmetry: C2/c

Cell lengths 9.490, 9.490, 5.716 Å; angles 96.08, 96.08, 76.15 degrees
Fractional positions:
Sc1 0.026 0.151 0.955
Sc2 0.130 0.716 0.509
Sc3 0.151 0.026 0.455
Sc4 0.174 0.362 0.680
Sc5 0.284 0.870 0.991
Sc6 0.362 0.174 0.180
Sc7 0.638 0.826 0.820
Sc8 0.716 0.130 0.009
Sc9 0.826 0.638 0.320
Sc10 0.849 0.974 0.545
Sc11 0.870 0.284 0.491
Sc12 0.974 0.849 0.045
Tl1 0.113 0.432 0.191
Tl2 0.432 0.113 0.691
Tl3 0.568 0.887 0.309
Tl4 0.887 0.568 0.809
N1 0.086 0.914 0.750
N2 0.176 0.824 0.250
N3 0.824 0.176 0.750
N4 0.914 0.086 0.250

---

# 16
DFT (PBE-GGA) results for crystalline Ac2TePb at its relaxed geometry.

## Properties
* energy above the lowest structure with this stoichiometry: 18.2 kJ per mole of atoms
* density: 9.264 g/cm³
* symmetry: Fm-3m

Cell lengths 5.848, 5.848, 5.848 Å; angles 60.00, 60.00, 60.00 degrees
Fractional positions:
Ac1 0.250 0.250 0.250
Ac2 0.750 0.750 0.750
Te1 0.000 0.000 0.000
Pb1 0.500 0.500 0.500

---

# 17
DFT (PBE-GGA) results for crystalline Be3CrNi at its relaxed geometry.

## Properties
* energy above the lowest structure with this stoichiometry: 0.0 kJ per mole of atoms
* density: 4.158 g/cm³
* ΔH_f (0 K): 0.63 eV per atom
* symmetry: Pm-3m

Cell lengths 3.803, 3.803, 3.803 Å; angles 90.00, 90.00, 90.00 degrees
Fractional positions:
Be1 0.000 0.000 0.500
Be2 0.000 0.500 0.000
Be3 0.500 0.000 0.000
Cr1 0.500 0.500 0.500
Ni1 0.000 0.000 0.000

---

# 18
DFT (PBE-GGA) results for crystalline RbSn4Pb12 at its relaxed geometry.

## Properties
* density: 8.260 g/cm³
* ΔH_f (0 K): 0.09 eV per atom
* symmetry: Im-3

Cell lengths 9.266, 9.266, 9.266 Å; angles 109.47, 109.47, 109.47 degrees
Fractional positions:
Rb1 0.000 0.000 0.000
Sn1 0.000 0.000 0.500
Sn2 0.000 0.500 0.000
Sn3 0.500 0.000 0.000
Sn4 0.500 0.500 0.500
Pb1 0.150 0.354 0.503
Pb2 0.150 0.646 0.796
Pb3 0.204 0.850 0.354
Pb4 0.354 0.204 0.850
Pb5 0.354 0.503 0.150
Pb6 0.497 0.850 0.646
Pb7 0.503 0.150 0.354
Pb8 0.646 0.497 0.850
Pb9 0.646 0.796 0.150
Pb10 0.796 0.150 0.646
Pb11 0.850 0.354 0.204
Pb12 0.850 0.646 0.497

---

# 19
DFT (PBE-GGA) results for crystalline YSe at its relaxed geometry.

## Properties
* density: 5.769 g/cm³
* symmetry: Fm-3m

Cell lengths 4.088, 4.088, 4.088 Å; angles 60.00, 60.00, 60.00 degrees
Fractional positions:
Y1 0.000 0.000 0.000
Se1 0.500 0.500 0.500

---

# 20
DFT (PBE-GGA) results for crystalline Th2Si4Ni3Pt at its relaxed geometry.

## Properties
* density: 9.616 g/cm³
* symmetry: P-4m2

Cell lengths 4.111, 4.111, 9.684 Å; angles 90.00, 90.00, 90.00 degrees
Fractional positions:
Th1 0.000 0.500 0.244
Th2 0.500 0.000 0.756
Si1 0.000 0.000 0.000
Si2 0.000 0.500 0.638
Si3 0.500 0.000 0.362
Si4 0.500 0.500 0.000
Ni1 0.000 0.500 0.882
Ni2 0.500 0.000 0.118
Ni3 0.500 0.500 0.500
Pt1 0.000 0.000 0.500

---

What are the E values for these records? In order: -2.701, -5.018, -8.603, -6.669, -10.202, -7.478, -7.040, -6.785, -8.065, -3.731, -3.957, -3.630, -2.426, -7.288, -6.510, -4.637, -4.687, -3.523, -6.734, -6.925 eV/atom.